# LiFePO4 (PBE+U, optimized geometry)
# Magnetic moment ... 4.00 μB per formula unit
# Energy above the lowest structure with this stoichiometry ... 0 meV per atom
# E_tot ... -6.8326 eV per atom
# Space-group type ... Pnma (62)
data_LiFePO4
_chemical_formula_sum 'Li4 Fe4 P4 O16'
_cell_length_a 10.4490
_cell_length_b 6.0823
_cell_length_c 4.7519
_cell_angle_alpha 90.00
_cell_angle_beta 90.00
_cell_angle_gamma 90.00
_space_group_name_H-M_alt 'P 1'
_space_group_IT_number 1
loop_
_space_group_symop_operation_xyz
'x,y,z'
loop_
_atom_site_label
_atom_site_type_symbol
_atom_site_fract_x
_atom_site_fract_y
_atom_site_fract_z
_atom_site_occupancy
Li1 Li 0.0000 0.0000 0.0000 1
Li2 Li 0.0000 0.5000 0.0000 1
Li3 Li 0.5000 0.0000 0.5000 1
Li4 Li 0.5000 0.5000 0.5000 1
Fe1 Fe 0.2186 0.2500 0.4751 1
Fe2 Fe 0.2814 0.7500 0.9751 1
Fe3 Fe 0.7186 0.2500 0.0249 1
Fe4 Fe 0.7814 0.7500 0.5249 1
P1 P 0.0945 0.7500 0.4178 1
P2 P 0.4055 0.2500 0.9178 1
P3 P 0.5945 0.7500 0.0822 1
P4 P 0.9055 0.2500 0.5822 1
O1 O 0.0431 0.2500 0.7071 1
O2 O 0.0967 0.7500 0.7412 1
O3 O 0.1653 0.5469 0.2846 1
O4 O 0.1653 0.9531 0.2846 1
O5 O 0.3347 0.0469 0.7846 1
O6 O 0.3347 0.4531 0.7846 1
O7 O 0.4033 0.2500 0.2412 1
O8 O 0.4569 0.7500 0.2071 1
O9 O 0.5431 0.2500 0.7929 1
O10 O 0.5967 0.7500 0.7588 1
O11 O 0.6653 0.5469 0.2154 1
O12 O 0.6653 0.9531 0.2154 1
O13 O 0.8347 0.0469 0.7154 1
O14 O 0.8347 0.4531 0.7154 1
O15 O 0.9033 0.2500 0.2588 1
O16 O 0.9569 0.7500 0.2929 1